# Hg2PCl | Alexandria via LeMat-Bulk | PBE | relaxed
data_Hg2PCl
_cell_length_a 6.941
_cell_length_b 7.382
_cell_length_c 9.143
_cell_angle_alpha 90.00
_cell_angle_beta 90.36
_cell_angle_gamma 90.00
_symmetry_space_group_name_H-M 'P 1 21/c 1'
_symmetry_Int_Tables_number 14
loop_
_symmetry_equiv_pos_as_xyz
'x,y,z'
'-x,-y,-z'
'-x,y+1/2,-z+1/2'
'x,-y+1/2,z+1/2'
loop_
_atom_site_label
_atom_site_type_symbol
_atom_site_fract_x
_atom_site_fract_y
_atom_site_fract_z
Hg1 Hg 0.001 0.002 0.250
Hg2 Hg 0.369 0.747 0.504
P1 P 0.229 0.749 0.753
Cl1 Cl 0.252 0.242 0.001
# Crystal system: monoclinic
# Density, g/cm3: 6.63
# Energy above the most stable polymorph in this dataset, meV per atom: 0
# Uncorrected energy, eV per atom: -2.22
# E_form (uncorrected), eV per atom: -0.26